# 1
First-principles (PBE) data for crystalline Sm2Zn3Ag at its relaxed geometry, as listed in the Alexandria database.

Properties
The total DFT energy (no corrections) comes out at -3.0225 eV per atom. Its formation energy is -0.34 eV per atom. The total magnetization is 0.00 μB per formula unit. The space-group type is Fmmm (69). The value obtained for the density of states at the Fermi level is 0.702 states/eV per atom.

Geometry as POSCAR:
```
Sm2Zn3Ag
1.0
0.000 4.631 8.024
3.487 0.000 8.024
3.487 4.631 0.000
Sm Zn Ag
4 6 2
direct
0.245 0.755 0.755
0.250 0.250 0.250
0.750 0.750 0.750
0.755 0.245 0.245
0.172 0.663 0.337
0.337 0.337 0.663
0.337 0.828 0.172
0.663 0.172 0.828
0.663 0.663 0.337
0.828 0.337 0.663
0.167 0.167 0.833
0.833 0.833 0.167
```

# 2
First-principles (PBE) data for crystalline SmZnAg4 at its relaxed geometry, as listed in the Alexandria database.

Properties
The total DFT energy (no corrections) comes out at -3.0194 eV per atom. Its formation energy is -0.12 eV per atom. The total magnetization is 0.00 μB per formula unit. The space-group type is Cmcm (63). The value obtained for the density of states at the Fermi level is 0.483 states/eV per atom. Its energy above the lowest structure with this stoichiometry is 0.000 eV/atom.

Geometry as POSCAR:
```
SmZnAg4
1.0
2.179 -8.129 0.000
2.179 8.129 0.000
0.000 0.000 6.909
Sm Zn Ag
2 2 8
direct
0.124 0.876 0.750
0.876 0.124 0.250
0.233 0.767 0.250
0.767 0.233 0.750
0.067 0.933 0.250
0.327 0.673 0.553
0.327 0.673 0.947
0.500 0.500 0.000
0.500 0.500 0.500
0.673 0.327 0.053
0.673 0.327 0.447
0.933 0.067 0.750
```

# 3
First-principles (PBE) data for crystalline SmZn3Ag9 at its relaxed geometry, as listed in the Alexandria database.

Properties
The total DFT energy (no corrections) comes out at -2.7457 eV per atom. Its formation energy is -0.11 eV per atom. The total magnetization is 0.00 μB per formula unit. The space-group type is C2/m (12). The value obtained for the density of states at the Fermi level is 0.382 states/eV per atom.

Geometry as POSCAR:
```
SmZn3Ag9
1.0
2.658 -6.693 0.000
2.658 6.693 0.000
-2.310 0.000 6.712
Sm Zn Ag
1 3 9
direct
0.000 0.000 0.000
0.000 0.500 0.000
0.500 0.000 0.000
0.500 0.500 0.500
0.000 0.000 0.500
0.025 0.668 0.657
0.301 0.518 0.787
0.332 0.975 0.343
0.482 0.699 0.213
0.518 0.301 0.787
0.668 0.025 0.657
0.699 0.482 0.213
0.975 0.332 0.343
```

# 4
First-principles (PBE) data for crystalline SmZn3Ag at its relaxed geometry, as listed in the Alexandria database.

Properties
The total DFT energy (no corrections) comes out at -2.5197 eV per atom. Its formation energy is -0.24 eV per atom. The total magnetization is 0.00 μB per formula unit. The space-group type is P2_1/m (11). The value obtained for the density of states at the Fermi level is 0.366 states/eV per atom. Its energy above the lowest structure with this stoichiometry is 0.016 eV/atom.

Geometry as POSCAR:
```
SmZn3Ag
1.0
5.465 0.000 0.000
0.000 5.546 0.000
-0.138 0.000 6.275
Sm Zn Ag
2 6 2
direct
0.158 0.250 0.162
0.842 0.750 0.838
0.350 0.012 0.678
0.350 0.488 0.678
0.358 0.750 0.039
0.642 0.250 0.961
0.650 0.512 0.322
0.650 0.988 0.322
0.085 0.750 0.386
0.915 0.250 0.614
```